This record from the Alexandria database describes crystalline Tl2ZnHg at its relaxed geometry. The functional is PBE-GGA.

Calculated values
formation energy from the elements: 80 meV per atom
V: 106.4 Å³/cell
calculated total energy: -1.497 eV/atom
polymorph energy (0 for the lowest one): 8.0 meV/atom

abc: 6.597 6.597 6.597
angles: 150.80 130.07 58.89
Sites, in units of the cell vectors:
Tl 0.718 0.218 0.500
Tl 0.007 0.007 0.000
Zn 0.490 0.490 0.000
Hg 0.285 0.785 0.500

=====

This record from the Alexandria database describes crystalline Tl2ZnHg at its relaxed geometry. The functional is PBE-GGA.

Calculated values
formation energy from the elements: 101 meV per atom
V: 105.8 Å³/cell
calculated total energy: -1.476 eV/atom
polymorph energy (0 for the lowest one): 29.0 meV/atom

abc: 3.378 3.378 9.268
angles: 90.00 90.00 90.00
Sites, in units of the cell vectors:
Tl 0.000 0.000 0.474
Tl 0.000 0.000 0.026
Zn 0.500 0.500 0.250
Hg 0.500 0.500 0.750

=====

This record from the Alexandria database describes crystalline Tl2ZnHg at its relaxed geometry. The functional is PBE-GGA.

Calculated values
formation energy from the elements: 107 meV per atom
V: 108.1 Å³/cell
calculated total energy: -1.470 eV/atom
polymorph energy (0 for the lowest one): 34.7 meV/atom

abc: 5.449 5.449 5.909
angles: 72.11 72.11 40.68
Sites, in units of the cell vectors:
Tl 0.017 0.017 0.981
Tl 0.483 0.483 0.519
Zn 0.750 0.750 0.750
Hg 0.250 0.250 0.250

=====

This record from the Alexandria database describes crystalline TlZnHg2 at its relaxed geometry. The functional is PBE-GGA.

Calculated values
formation energy from the elements: 82 meV per atom
V: 100.6 Å³/cell
calculated total energy: -0.979 eV/atom

abc: 6.421 6.421 5.315
angles: 63.87 63.87 31.05
Sites, in units of the cell vectors:
Zn 0.250 0.250 0.250
Hg 0.972 0.972 0.029
Hg 0.528 0.528 0.471
Tl 0.750 0.750 0.750